1.
MnNiRh2, relaxed, DFT PBE; density of states at the Fermi level = 4.87 states/eV/f.u.; V = 53 Å³/cell; SG = Fm-3m; ΔE_f = -13 meV per atom; spin magnetization = 1.94 μB per cell
1.0
0.075 0.739 4.157
-2.776 2.678 1.719
-3.103 -1.466 2.461
Ni Mn Rh
1 1 2
direct
0.500 0.500 0.500
0.000 0.000 0.000
0.250 0.250 0.250
0.750 0.750 0.750

***

2.
MnNiRh, relaxed, DFT PBE; density of states at the Fermi level = 2.83 states/eV/f.u.; V = 45 Å³/cell; SG = P2/m; ΔE_f = 404 meV per atom; energy above the most stable polymorph in this dataset = 412.1 meV per atom; spin magnetization = 3.68 μB per cell
1.0
5.258 -0.294 1.172
2.719 2.523 0.175
-0.634 0.476 2.959
Mn Ni Rh
1 1 1
direct
0.000 0.500 0.000
0.000 0.000 0.500
0.500 0.500 0.000

***

3.
MnNiRh2, relaxed, DFT PBE; density of states at the Fermi level = 6.42 states/eV/f.u.; V = 52 Å³/cell; SG = I4/mmm; ΔE_f = -69 meV per atom; spin magnetization = 1.98 μB per cell
1.0
4.465 -0.267 -0.260
1.485 4.219 0.260
-2.830 -2.193 2.693
Mn Ni Rh
1 1 2
direct
0.750 0.250 0.500
0.250 0.750 0.500
0.000 0.000 0.000
0.500 0.500 0.000

***

4.
MnNi2Rh, relaxed, DFT PBE; density of states at the Fermi level = 5.78 states/eV/f.u.; V = 51 Å³/cell; SG = R-3m; ΔE_f = 96 meV per atom; spin magnetization = 5.65 μB per cell
1.0
8.394 -0.048 -0.028
7.988 2.579 -0.028
7.988 1.234 2.265
Mn Ni Rh
1 2 1
direct
0.750 0.750 0.750
0.003 0.003 0.003
0.497 0.497 0.497
0.250 0.250 0.250

***

5.
MnNiRh, relaxed, DFT PBE; density of states at the Fermi level = 5.84 states/eV/f.u.; V = 38 Å³/cell; SG = P-6m2; ΔE_f = 60 meV per atom; energy above the most stable polymorph in this dataset = 67.6 meV per atom; spin magnetization = 3.37 μB per cell
1.0
4.123 0.000 0.000
-2.061 3.570 0.000
0.000 0.000 2.610
Mn Ni Rh
1 1 1
direct
0.000 0.000 0.166
0.333 0.667 0.167
0.667 0.333 0.667

***

6.
Mn2Ni2Rh, relaxed, DFT PBE; density of states at the Fermi level = 10.48 states/eV/f.u.; V = 119 Å³/cell; SG = P4/mbm; ΔE_f = 255 meV per atom; energy above the most stable polymorph in this dataset = 20.7 meV per atom; spin magnetization = 0.00 μB per cell
1.0
-1.524 0.968 -6.452
5.075 -3.988 -1.797
-1.621 -2.093 0.069
Ni Mn Rh
4 4 2
direct
0.186 0.686 0.500
0.686 0.814 0.500
0.814 0.314 0.500
0.314 0.186 0.500
0.394 0.894 0.000
0.894 0.606 0.000
0.606 0.106 0.000
0.106 0.394 0.000
0.000 0.000 0.000
0.500 0.500 0.000

***

7.
MnNiRh2, relaxed, DFT PBE; density of states at the Fermi level = 6.03 states/eV/f.u.; V = 53 Å³/cell; SG = P4mm; ΔE_f = 9 meV per atom; spin magnetization = 3.59 μB per cell
1.0
-2.688 -0.176 -0.505
0.270 -2.682 -0.500
-1.195 -1.396 6.842
Mn Ni Rh
1 1 2
direct
0.000 0.000 0.513
0.500 0.500 0.741
0.000 0.000 0.989
0.500 0.500 0.258

***

8.
MnNi2Rh, relaxed, DFT PBE; density of states at the Fermi level = 5.51 states/eV/f.u.; V = 49 Å³/cell; SG = I-4m2; ΔE_f = -58 meV per atom; spin magnetization = 2.20 μB per cell
1.0
4.458 0.000 0.000
1.456 4.214 0.000
-2.957 -2.107 2.587
Ni Mn Rh
2 1 1
direct
0.000 0.000 0.000
0.250 0.750 0.500
0.750 0.250 0.500
0.500 0.500 0.000

***

9.
MnNiRh, relaxed, DFT PBE; density of states at the Fermi level = 5.15 states/eV/f.u.; V = 37 Å³/cell; SG = P3m1; ΔE_f = 53 meV per atom; energy above the most stable polymorph in this dataset = 61.2 meV per atom; spin magnetization = 2.47 μB per cell
1.0
-1.562 -2.118 0.143
0.744 0.933 -2.350
5.019 -3.693 0.124
Mn Ni Rh
1 1 1
direct
0.000 0.000 0.007
0.333 0.667 0.321
0.667 0.333 0.673

***

10.
MnNiRh, relaxed, DFT PBE; density of states at the Fermi level = 3.51 states/eV/f.u.; V = 43 Å³/cell; SG = F-43m; ΔE_f = 333 meV per atom; energy above the most stable polymorph in this dataset = 341.1 meV per atom; spin magnetization = 2.63 μB per cell
1.0
-0.252 3.809 0.947
-2.645 2.299 -1.785
-3.117 1.328 1.997
Mn Ni Rh
1 1 1
direct
0.750 0.750 0.750
0.000 0.000 0.000
0.500 0.500 0.500